# Li2CdFeF6 | Alexandria | PBE with a Hubbard U | relaxed
data_Li2CdFeF6
_cell_length_a 5.3246
_cell_length_b 5.3619
_cell_length_c 5.7013
_cell_angle_alpha 62.28
_cell_angle_beta 63.23
_cell_angle_gamma 60.43
_space_group_name_H-M_alt 'P 1'
_space_group_IT_number 1
loop_
_space_group_symop_operation_xyz
'x,y,z'
loop_
_atom_site_label
_atom_site_fract_x
_atom_site_fract_y
_atom_site_fract_z
Li1 0.0000 0.0000 0.0000
Li2 0.4990 0.5242 0.4816
Cd1 0.7814 0.8029 0.6320
Fe1 0.2877 0.3098 0.1119
F1 0.0992 0.3680 0.8327
F2 0.2047 0.8999 0.3044
F3 0.3513 0.7209 0.8118
F4 0.5590 0.2416 0.3125
F5 0.6984 0.1258 0.8200
F6 0.8762 0.6040 0.3046
# volume: 12.00 Å³/atom
# electronic total energy: -4.72 eV per atom
# density: 4.1 g cm⁻³
# magnetic moment: 4.0 μB per cell